Below is a relaxed structure of LiCa2GaPt, with properties calculated at the GGA-PBE level.

Summary:
total magnetization: 0.00 μB/f.u.
formation energy: -429 meV/atom
DFT total energy: -3.43 eV per atom
D(E_F): 0.7156 states/eV per atom

```
data_LiCa2GaPt
_space_group_name_H-M_alt 'P 4/m m m'
_space_group_IT_number 123
_space_group_name_Hall '-P 4 2'
_cell_length_a 5.584
_cell_length_b 5.584
_cell_length_c 4.832
_cell_angle_alpha 90.00
_cell_angle_beta 90.00
_cell_angle_gamma 90.00
loop_
_atom_site_label
_atom_site_fract_x
_atom_site_fract_y
_atom_site_fract_z
Li1 0.000 0.000 0.000
Ca1 0.000 0.500 0.500
Ga1 0.500 0.500 0.000
Pt1 0.500 0.500 0.500
```